DFT (PBE-GGA) results for a relaxed Ca2BeRh crystal.

abc: 6.7728 6.7728 6.7728
angles: 90.00 90.00 90.00
Space group F-43m (No. 216)
One atom of each set of equivalent atoms:
Ca (0.0000, 0.0000, 0.0000) [4 per cell]
Ca (0.2500, 0.2500, 0.2500) [4 per cell]
Be (0.2500, 0.2500, 0.7500) [4 per cell]
Rh (0.0000, 0.0000, 0.5000) [4 per cell]

Calculated values
Fermi-level density of states = 19.53 states/eV/cell
ΔH_f (0 K) = 0.15 eV/atom

=====

DFT (PBE-GGA) results for a relaxed CaBe2Rh2 crystal.

abc: 6.9953 6.9953 2.8382
angles: 90.00 90.00 90.00
Space group P4/mbm (No. 127)
One atom of each set of equivalent atoms:
Ca (0.0000, 0.0000, 0.0000) [2 per cell]
Be (0.1301, 0.3699, 0.5000) [4 per cell]
Rh (0.1477, 0.6477, 0.0000) [4 per cell]

Calculated values
Fermi-level density of states = 4.74 states/eV/cell
distance to the lowest polymorph of the same formula = 151.2 meV per atom
ΔH_f (0 K) = -0.32 eV/atom

=====

DFT (PBE-GGA) results for a relaxed Ca2BeRh crystal.

abc: 4.8709 4.8709 3.5151
angles: 90.00 90.00 90.00
Space group P4/mmm (No. 123)
One atom of each set of equivalent atoms:
Ca (0.0000, 0.5000, 0.0000) [2 per cell]
Be (0.0000, 0.0000, 0.5000) [1 per cell]
Rh (0.5000, 0.5000, 0.5000) [1 per cell]

Calculated values
Fermi-level density of states = 2.23 states/eV/cell
ΔH_f (0 K) = 0.05 eV/atom